# 1
Below is an optimized crystal structure of ReSn3Bi, with properties calculated at the GGA-PBE level.

POSCAR file:
```
ReSn3Bi
1.0
5.258 0.000 0.000
0.000 5.258 0.000
0.000 0.000 5.258
Re Sn Bi
1 3 1
direct
0.000 0.000 0.000 Re
0.000 0.000 0.500 Sn
0.000 0.500 0.000 Sn
0.500 0.000 0.000 Sn
0.500 0.500 0.500 Bi
```

Results
Energy of formation = 0.44 eV per atom
E above lowest polymorph = 0.00 kJ/mol of atoms
Total moment = 1.59 Bohr magnetons per cell



# 2
Below is an optimized crystal structure of Re2SnBi, with properties calculated at the GGA-PBE level.

POSCAR file:
```
Re2SnBi
1.0
-3.898 3.898 2.825
3.898 -3.898 2.825
3.898 3.898 -2.825
Re Sn Bi
4 2 2
direct
0.103 0.625 0.978 Re
0.375 0.353 0.478 Re
0.647 0.125 0.022 Re
0.875 0.897 0.522 Re
0.000 0.000 0.000 Sn
0.750 0.250 0.500 Sn
0.250 0.750 0.500 Bi
0.500 0.500 0.000 Bi
```

Results
Energy of formation = 1.50 eV per atom
E above lowest polymorph = 57.57 kJ/mol of atoms
Total moment = 2.33 Bohr magnetons per cell



# 3
Below is an optimized crystal structure of SrRe3Bi, with properties calculated at the GGA-PBE level.

POSCAR file:
```
SrRe3Bi
1.0
5.097 0.000 0.000
0.000 5.097 0.000
0.000 0.000 5.097
Sr Re Bi
1 3 1
direct
0.000 0.000 0.000 Sr
0.000 0.500 0.500 Re
0.500 0.000 0.500 Re
0.500 0.500 0.000 Re
0.500 0.500 0.500 Bi
```

Results
Energy of formation = 2.46 eV per atom
E above lowest polymorph = 0.00 kJ/mol of atoms
Total moment = 3.09 Bohr magnetons per cell



# 4
Below is an optimized crystal structure of SrReBi2, with properties calculated at the GGA-PBE level.

POSCAR file:
```
SrReBi2
1.0
-4.224 4.224 3.406
4.224 -4.224 3.406
4.224 4.224 -3.406
Sr Re Bi
2 2 4
direct
0.000 0.000 0.000 Sr
0.750 0.250 0.500 Sr
0.250 0.750 0.500 Re
0.500 0.500 0.000 Re
0.194 0.125 0.569 Bi
0.375 0.806 0.931 Bi
0.556 0.625 0.431 Bi
0.875 0.444 0.069 Bi
```

Results
Energy of formation = 0.40 eV per atom
E above lowest polymorph = 0.00 kJ/mol of atoms
Total moment = 1.82 Bohr magnetons per cell